DFT (PBE-GGA) results for a relaxed structure of La2Pr2Dy3.

Lattice parameters (Å, degrees): 5.6948 5.6948 8.7956 98.14 103.17 115.42
Last column: nearest neighbours and their distance in Å.
Atoms (fractional coordinates):
1 La 0.1365 0.5742 0.7107  1 La 3.50, 5 Dy 3.56-3.73, 4 Pr 3.56-3.63
2 La 0.8635 0.4258 0.2893  1 La 3.50, 5 Dy 3.56-3.73, 4 Pr 3.56-3.63
3 Pr 0.4273 0.7138 0.1411  5 Dy 3.55-3.73, 4 La 3.56-3.63, 1 Pr 3.71
4 Pr 0.5727 0.2862 0.8589  5 Dy 3.55-3.73, 4 La 3.56-3.63, 1 Pr 3.71
5 Dy 0.0000 0.0000 0.0000  6 Pr 3.56-3.57, 2 Dy 3.60, 2 La 3.71
6 Dy 0.7096 0.8579 0.5675  4 Dy 3.51-3.60, 2 Pr 3.55-3.73, 4 La 3.56-3.73
7 Dy 0.2904 0.1421 0.4325  4 Dy 3.51-3.60, 2 Pr 3.55-3.73, 4 La 3.56-3.73

magnetization = 0.00 μB/f.u.
formation energy = 0.8 eV/f.u.
symmetry = C2/m
offset from the most stable computed form = 0.000 eV/f.u.

***

DFT (PBE-GGA) results for a relaxed structure of ErTiCo11.

Lattice parameters (Å, degrees): 6.3233 6.3233 6.3233 136.62 97.92 97.78
Last column: nearest neighbours and their distance in Å.
Atoms (fractional coordinates):
1 Er 0.9929 0.0000 0.9929  19 Co 2.87-3.20, 1 Ti 3.13
2 Ti 0.3700 0.0000 0.3700  1 Co 2.30
3 Co 0.5002 0.0005 0.9958  9 Co 2.32-2.57
4 Co 0.5002 0.5043 0.4997  9 Co 2.32-2.57
5 Co 0.9953 0.4957 0.9958  9 Co 2.32-2.57
6 Co 0.9953 0.9995 0.4997  9 Co 2.32-2.57
7 Co 0.7744 0.5000 0.2744  10 Co 2.38-2.60
8 Co 0.2200 0.5000 0.7200  8 Co 2.41-2.62, 2 Ti 2.65
9 Co 0.2168 0.7161 0.5007  9 Co 2.38-2.66, 1 Ti 2.60
10 Co 0.7846 0.2839 0.5007  9 Co 2.38-2.66, 1 Ti 2.60
11 Co 0.6473 0.0000 0.6473  1 Ti 2.30, 6 Co 2.51-2.56
12 Co 0.6436 0.6422 0.0014  9 Co 2.36-2.62
13 Co 0.3592 0.3578 0.0014  9 Co 2.36-2.62

magnetization = 15.09 μB/f.u.
formation energy = -1.9 eV/f.u.
symmetry = Imm2

***

DFT (PBE-GGA) results for a relaxed structure of Mn2NiRh.

Lattice parameters (Å, degrees): 8.4512 8.4512 8.4512 17.66 17.66 17.66
Last column: nearest neighbours and their distance in Å.
Atoms (fractional coordinates):
1 Mn 0.9979 0.9979 0.9979  3 Ni 2.52, 6 Mn 2.60, 3 Rh 2.61
2 Mn 0.5021 0.5021 0.5021  3 Ni 2.52, 6 Mn 2.60, 3 Rh 2.61
3 Ni 0.2500 0.2500 0.2500  6 Mn 2.52, 6 Ni 2.60
4 Rh 0.7500 0.7500 0.7500  6 Rh 2.60, 6 Mn 2.61

magnetization = 3.32 μB/f.u.
formation energy = 0.5 eV/f.u.
symmetry = R-3m

***

DFT (PBE-GGA) results for a relaxed structure of Ta2ZnSe.

Lattice parameters (Å, degrees): 5.5270 5.5270 5.5270 146.64 131.19 60.41
Last column: nearest neighbours and their distance in Å.
Atoms (fractional coordinates):
1 Se 0.2319 0.7319 0.5000  6 Ta 2.58-2.79
2 Ta 0.0193 0.0193 0.0000  2 Se 2.58, 4 Zn 2.79
3 Ta 0.7543 0.2543 0.5000  4 Se 2.79, 2 Zn 2.95, 2 Ta 2.99
4 Zn 0.4944 0.4944 0.0000  6 Ta 2.79-2.95, 2 Se 2.97

magnetization = 0.00 μB/f.u.
uncorrected formation energy = 0.372 eV per formula unit
symmetry = Imm2
offset from the most stable computed form = 0.498 eV/f.u.

***

DFT (PBE-GGA) results for a relaxed structure of La2SiTc.

Lattice parameters (Å, degrees): 4.1718 4.4222 5.9606 68.23 90.00 90.00
Last column: nearest neighbours and their distance in Å.
Atoms (fractional coordinates):
1 Si 0.0000 0.6824 0.5100  2 Tc 2.46
2 Tc 0.5000 0.5652 0.7448  2 Si 2.46
3 La 0.0000 0.9869 0.9013  3 Si 3.09-3.37, 4 Tc 3.16
4 La 0.5000 0.2655 0.3438  3 Tc 3.13-3.32, 4 Si 3.18

magnetization = 0.00 μB/f.u.
uncorrected formation energy = -1.414 eV per formula unit
symmetry = Amm2

***

DFT (PBE-GGA) results for a relaxed structure of AlGaI3.

Lattice parameters (Å, degrees): 5.7242 5.7242 5.7242 90.00 90.00 90.00
Last column: nearest neighbours and their distance in Å.
Atoms (fractional coordinates):
1 I 0.0000 0.5000 0.0000  2 Al 2.86
2 I 0.0000 0.0000 0.5000  2 Al 2.86
3 I 0.5000 0.0000 0.0000  2 Al 2.86
4 Al 0.0000 0.0000 0.0000  6 I 2.86
5 Ga 0.5000 0.5000 0.5000  12 I 4.05

magnetization = 0.00 μB/f.u.
uncorrected formation energy = -1.153 eV per formula unit
symmetry = Pm-3m
offset from the most stable computed form = 0.873 eV/f.u.

***

DFT (PBE-GGA) results for a relaxed structure of K2RhAu.

Lattice parameters (Å, degrees): 5.8559 5.8559 5.8559 132.53 122.67 77.54
Last column: nearest neighbours and their distance in Å.
Atoms (fractional coordinates):
1 Au 0.3198 0.8198 0.5000  2 Rh 2.54
2 K 0.0283 0.0283 0.0000  4 K 3.35-3.61, 4 Au 3.39-3.56, 1 Rh 3.61
3 K 0.7282 0.2282 0.5000  4 Rh 3.33-3.65, 4 K 3.35-3.61
4 Rh 0.4237 0.4237 0.0000  2 Au 2.54

magnetization = 0.18 μB/f.u.
formation energy = 1.0 eV/f.u.
symmetry = Imm2
offset from the most stable computed form = 0.437 eV/f.u.

***

DFT (PBE-GGA) results for a relaxed structure of Pm5TlTe8.

Lattice parameters (Å, degrees): 9.3745 9.3745 9.3745 60.00 60.00 60.00
Last column: nearest neighbours and their distance in Å.
Atoms (fractional coordinates):
1 Pm 0.0000 0.0000 0.0000  4 Te 3.06
2 Pm 0.6206 0.6206 0.1381  6 Te 3.10-3.27
3 Pm 0.6206 0.6206 0.6206  6 Te 3.10-3.27
4 Pm 0.1381 0.6206 0.6206  6 Te 3.10-3.27
5 Pm 0.6206 0.1381 0.6206  6 Te 3.10-3.27
6 Tl 0.2500 0.2500 0.2500  4 Te 3.15
7 Te 0.3873 0.8381 0.3873  3 Pm 3.10, 1 Tl 3.15
8 Te 0.8381 0.3873 0.3873  3 Pm 3.10, 1 Tl 3.15
9 Te 0.3873 0.3873 0.3873  3 Pm 3.10, 1 Tl 3.15
10 Te 0.3873 0.3873 0.8381  3 Pm 3.10, 1 Tl 3.15
11 Te 0.8669 0.8669 0.3992  4 Pm 3.06-3.27
12 Te 0.3992 0.8669 0.8669  4 Pm 3.06-3.27
13 Te 0.8669 0.8669 0.8669  4 Pm 3.06-3.27
14 Te 0.8669 0.3992 0.8669  4 Pm 3.06-3.27

magnetization = 0.00 μB/f.u.
uncorrected formation energy = -17.173 eV per formula unit
symmetry = F-43m

***

DFT (PBE-GGA) results for a relaxed structure of Nb2VSnN.

Lattice parameters (Å, degrees): 4.4291 4.4291 3.8788 90.00 90.00 90.00
Last column: nearest neighbours and their distance in Å.
Atoms (fractional coordinates):
1 Nb 0.0000 0.5000 0.0000  2 N 2.21
2 Nb 0.5000 0.0000 0.0000  2 N 2.21
3 N 0.0000 0.0000 0.0000  2 V 1.94
4 Sn 0.5000 0.5000 0.5000  8 Nb 2.94, 4 V 3.13
5 V 0.0000 0.0000 0.5000  2 N 1.94

magnetization = 0.00 μB/f.u.
uncorrected formation energy = -2.414 eV per formula unit
symmetry = P4/mmm

***

DFT (PBE-GGA) results for a relaxed structure of Sr5MnN4Cl2.

Lattice parameters (Å, degrees): 6.3672 5.7023 8.2290 90.00 90.00 123.94
Last column: nearest neighbours and their distance in Å.
Atoms (fractional coordinates):
1 Sr 0.0852 0.3784 0.1955  3 N 2.48-2.74
2 Sr 0.5144 0.0000 0.5000  2 N 2.60, 2 Cl 2.91
3 Sr 0.0852 0.3784 0.8045  3 N 2.48-2.74
4 Sr 0.7067 0.6216 0.8045  3 N 2.48-2.74
5 Sr 0.7067 0.6216 0.1955  3 N 2.48-2.74
6 Mn 0.4020 0.0000 0.0000  4 N 1.87-1.88
7 N 0.5708 0.0000 0.1871  1 Mn 1.88
8 N 0.5708 0.0000 0.8129  1 Mn 1.88
9 N 0.3673 0.3044 0.0000  1 Mn 1.87
10 N 0.0629 0.6956 0.0000  1 Mn 1.87
11 Cl 0.9672 0.6007 0.5000  6 Sr 2.91-3.08
12 Cl 0.3665 0.3993 0.5000  6 Sr 2.91-3.08

magnetization = 3.00 μB/f.u.
uncorrected formation energy = -11.179 eV per formula unit
symmetry = Amm2

***

DFT (PBE-GGA) results for a relaxed structure of OsPdSe2.

Lattice parameters (Å, degrees): 8.9430 8.9430 8.9430 19.56 19.56 19.56
Last column: nearest neighbours and their distance in Å.
Atoms (fractional coordinates):
1 Os 0.0000 0.0000 0.0000  2 Se 2.37
2 Se 0.9101 0.9101 0.9101  1 Os 2.37
3 Se 0.0899 0.0899 0.0899  1 Os 2.37
4 Pd 0.5000 0.5000 0.5000  6 Se 2.68

magnetization = 0.00 μB/f.u.
uncorrected formation energy = 1.975 eV per formula unit
symmetry = R-3m
offset from the most stable computed form = 1.271 eV/f.u.

***

DFT (PBE-GGA) results for a relaxed structure of LiTl4Pd7.

Lattice parameters (Å, degrees): 4.8435 8.9701 6.0632 80.57 66.46 74.34
Last column: nearest neighbours and their distance in Å.
Atoms (fractional coordinates):
1 Li 0.0000 0.0000 0.0000  2 Pd 2.42
2 Tl 0.5879 0.2241 0.6001  8 Pd 2.76-2.88
3 Tl 0.4121 0.7759 0.3999  8 Pd 2.76-2.88
4 Tl 0.7382 0.6793 0.8443  6 Pd 2.72-2.97
5 Tl 0.2618 0.3207 0.1557  6 Pd 2.72-2.97
6 Pd 0.7940 0.9156 0.4964  4 Tl 2.72-2.77, 1 Li 2.81, 4 Pd 2.83-2.94
7 Pd 0.2060 0.0844 0.5036  4 Tl 2.72-2.77, 1 Li 2.81, 4 Pd 2.83-2.94
8 Pd 0.0730 0.6624 0.1916  4 Pd 2.80-2.93, 5 Tl 2.88-3.09, 1 Li 3.04
9 Pd 0.9270 0.3376 0.8084  4 Pd 2.80-2.93, 5 Tl 2.88-3.09, 1 Li 3.04
10 Pd 0.3628 0.5274 0.7471  5 Tl 2.79-2.82, 4 Pd 2.80-2.93
11 Pd 0.5000 0.0000 0.0000  2 Li 2.42
12 Pd 0.6372 0.4726 0.2529  5 Tl 2.79-2.82, 4 Pd 2.80-2.93

magnetization = 0.00 μB/f.u.
formation energy = -1.4 eV/f.u.
symmetry = C2/m

***

DFT (PBE-GGA) results for a relaxed structure of TbTm2Th3.

Lattice parameters (Å, degrees): 6.0017 9.4915 9.2957 127.82 90.00 108.43
Last column: nearest neighbours and their distance in Å.
Atoms (fractional coordinates):
1 Tb 0.8725 0.7449 0.8680  6 Th 3.41-3.69, 3 Tm 3.54, 1 Tb 3.54
2 Tb 0.1275 0.2551 0.1320  6 Th 3.41-3.69, 3 Tm 3.54, 1 Tb 3.54
3 Tm 0.5390 0.0779 0.8676  6 Th 3.42-3.69, 2 Tm 3.53, 2 Tb 3.54
4 Tm 0.4610 0.9221 0.1324  6 Th 3.42-3.69, 2 Tm 3.53, 2 Tb 3.54
5 Tm 0.7930 0.5860 0.1303  6 Th 3.42-3.66, 3 Tm 3.52-3.53, 1 Tb 3.54
6 Tm 0.2070 0.4140 0.8697  6 Th 3.42-3.66, 3 Tm 3.52-3.53, 1 Tb 3.54
7 Th 0.2876 0.5751 0.6126  4 Th 3.40-3.42, 3 Tb 3.41-3.51, 3 Tm 3.50-3.69
8 Th 0.9547 0.9094 0.6122  4 Th 3.38-3.41, 4 Tm 3.42-3.51, 2 Tb 3.52-3.69
9 Th 0.6208 0.2416 0.6146  4 Th 3.39-3.42, 5 Tm 3.42-3.66, 1 Tb 3.51
10 Th 0.3792 0.7584 0.3854  4 Th 3.39-3.42, 5 Tm 3.42-3.66, 1 Tb 3.51
11 Th 0.0453 0.0906 0.3878  4 Th 3.38-3.41, 4 Tm 3.42-3.51, 2 Tb 3.52-3.69
12 Th 0.7124 0.4249 0.3874  4 Th 3.40-3.42, 3 Tb 3.41-3.51, 3 Tm 3.50-3.69

magnetization = 0.00 μB/f.u.
formation energy = 0.8 eV/f.u.
symmetry = C2/m
offset from the most stable computed form = 0.000 eV/f.u.

***

DFT (PBE-GGA) results for a relaxed structure of NaMg2Se2.

Lattice parameters (Å, degrees): 4.5020 4.5020 7.4935 72.52 72.52 90.00
Last column: nearest neighbours and their distance in Å.
Atoms (fractional coordinates):
1 Na 0.0000 0.0000 0.0000  8 Se 3.73, 8 Mg 4.07
2 Mg 0.7500 0.2500 0.5000  4 Se 2.67
3 Mg 0.2500 0.7500 0.5000  4 Se 2.67
4 Se 0.3565 0.3565 0.2871  4 Mg 2.67
5 Se 0.6435 0.6435 0.7129  4 Mg 2.67

magnetization = 0.00 μB/f.u.
uncorrected formation energy = -4.058 eV per formula unit
symmetry = I4/mmm

***

DFT (PBE-GGA) results for a relaxed structure of VW2.

Lattice parameters (Å, degrees): 2.7285 2.7285 6.7419 97.62 97.62 110.18
Last column: nearest neighbours and their distance in Å.
Atoms (fractional coordinates):
1 V 0.0000 0.0000 0.0000  4 W 2.65, 4 V 2.73
2 W 0.3365 0.3365 0.6729  2 V 2.65, 6 W 2.73-2.75
3 W 0.6635 0.6635 0.3271  2 V 2.65, 6 W 2.73-2.75

magnetization = 0.00 μB/f.u.
formation energy = -0.2 eV/f.u.
symmetry = Fmmm

***

DFT (PBE-GGA) results for a relaxed structure of LaTbDy3Ho.

Lattice parameters (Å, degrees): 5.6442 10.3218 7.0569 90.46 90.00 105.87
Last column: nearest neighbours and their distance in Å.
Atoms (fractional coordinates):
1 La 0.3566 0.7132 0.9714  1 Tb 3.02, 2 Dy 3.16-3.31
2 La 0.6434 0.2868 0.0286  1 Tb 3.02, 2 Dy 3.16-3.31
3 Tb 0.6494 0.2988 0.4561  1 La 3.02, 2 Dy 3.19-3.33
4 Tb 0.3506 0.7012 0.5439  1 La 3.02, 2 Dy 3.19-3.33
5 Dy 0.8376 0.6751 0.2746  2 Tb 3.41, 2 La 3.56, 4 Dy 3.62-3.81, 1 Ho 3.80
6 Dy 0.7791 0.5581 0.7584  1 Ho 3.31, 3 La 3.31-3.54, 3 Tb 3.33-3.51, 3 Dy 3.62-3.66
7 Dy 0.4769 0.9538 0.2676  1 La 3.16, 1 Tb 3.19, 2 Ho 3.22, 1 Dy 3.40
8 Dy 0.2209 0.4419 0.2416  1 Ho 3.31, 3 La 3.31-3.54, 3 Tb 3.33-3.51, 3 Dy 3.62-3.66
9 Dy 0.5231 0.0462 0.7324  1 La 3.16, 1 Tb 3.19, 2 Ho 3.22, 1 Dy 3.40
10 Dy 0.1624 0.3249 0.7254  2 Tb 3.41, 2 La 3.56, 4 Dy 3.62-3.81, 1 Ho 3.80
11 Ho 0.0548 0.1097 0.2783  3 Dy 3.22-3.31
12 Ho 0.9452 0.8903 0.7217  3 Dy 3.22-3.31

magnetization = 0.00 μB/f.u.
formation energy = 1.3 eV/f.u.
symmetry = C2/m

***

DFT (PBE-GGA) results for a relaxed structure of SrLa5P6.

Lattice parameters (Å, degrees): 7.4367 7.4367 7.4303 99.60 99.60 120.01
Last column: nearest neighbours and their distance in Å.
Atoms (fractional coordinates):
1 Sr 0.0000 0.0000 0.0000  6 P 3.11
2 P 0.4281 0.0848 0.2542  5 La 2.97-3.05, 1 Sr 3.11
3 P 0.9152 0.5719 0.7458  5 La 2.97-3.05, 1 Sr 3.11
4 P 0.2579 0.2579 0.7448  5 La 2.96-3.03, 1 Sr 3.11
5 P 0.7421 0.7421 0.2552  5 La 2.96-3.03, 1 Sr 3.11
6 P 0.0848 0.4281 0.2542  5 La 2.97-3.05, 1 Sr 3.11
7 P 0.5719 0.9152 0.7458  5 La 2.97-3.05, 1 Sr 3.11
8 La 0.8348 0.1652 0.5000  6 P 2.97-3.05
9 La 0.6669 0.3331 0.0000  6 P 3.02-3.03
10 La 0.5000 0.5000 0.5000  6 P 2.96-3.05
11 La 0.3331 0.6669 0.0000  6 P 3.02-3.03
12 La 0.1652 0.8348 0.5000  6 P 2.97-3.05

magnetization = 0.00 μB/f.u.
formation energy = -17.2 eV/f.u.
symmetry = C2/m

***

DFT (PBE-GGA) results for a relaxed structure of La4Pm2Nd2Ho.

Lattice parameters (Å, degrees): 5.2214 8.2552 8.2229 107.72 90.00 108.44
Last column: nearest neighbours and their distance in Å.
Atoms (fractional coordinates):
1 La 0.7778 0.5555 0.6683  1 Ho 3.67, 3 Nd 3.67-3.69, 3 Pm 3.69-3.72, 5 La 3.70
2 La 0.2222 0.4445 0.3317  1 Ho 3.67, 3 Nd 3.67-3.69, 3 Pm 3.69-3.72, 5 La 3.70
3 La 0.5546 0.1091 0.3316  2 Nd 3.65-3.68, 2 Ho 3.67, 4 Pm 3.68-3.71, 4 La 3.69-3.70
4 La 0.4454 0.8909 0.6684  2 Nd 3.65-3.68, 2 Ho 3.67, 4 Pm 3.68-3.71, 4 La 3.69-3.70
5 Pm 0.8885 0.7770 0.3301  3 Nd 3.67, 1 Ho 3.67, 7 La 3.68-3.72, 1 Pm 3.71
6 Pm 0.1115 0.2230 0.6699  3 Nd 3.67, 1 Ho 3.67, 7 La 3.68-3.72, 1 Pm 3.71
7 Nd 0.3341 0.6681 0.9996  5 La 3.65-3.69, 3 Pm 3.67, 2 Ho 3.68, 2 Nd 3.71
8 Nd 0.6659 0.3319 0.0004  5 La 3.65-3.69, 3 Pm 3.67, 2 Ho 3.68, 2 Nd 3.71
9 Ho 0.0000 0.0000 0.0000  2 Pm 3.67, 6 La 3.67, 4 Nd 3.68

magnetization = 0.00 μB/f.u.
formation energy = 0.2 eV/f.u.
symmetry = C2/m

***

DFT (PBE-GGA) results for a relaxed structure of ZrGa2Cu.

Lattice parameters (Å, degrees): 4.0636 4.0636 5.2952 67.44 67.44 60.00
Last column: nearest neighbours and their distance in Å.
Atoms (fractional coordinates):
1 Cu 0.5000 0.5000 0.5000  6 Ga 2.47
2 Ga 0.7790 0.7790 0.6630  3 Cu 2.47
3 Ga 0.2210 0.2210 0.3370  3 Cu 2.47
4 Zr 0.0000 0.0000 0.0000  8 Ga 2.84-3.15

magnetization = 0.00 μB/f.u.
formation energy = -1.3 eV/f.u.
symmetry = R-3m

***

DFT (PBE-GGA) results for a relaxed structure of PmPr3Er8.

Lattice parameters (Å, degrees): 8.3750 8.3750 8.3750 95.05 117.13 117.13
Last column: nearest neighbours and their distance in Å.
Atoms (fractional coordinates):
1 Pm 0.0000 0.0000 0.0000  8 Er 3.05-3.19
2 Pr 0.5000 0.7500 0.2500  4 Er 3.45
3 Pr 0.5000 0.2500 0.7500  4 Er 3.45
4 Pr 0.0000 0.5000 0.5000  8 Er 3.13-3.26
5 Er 0.4928 0.2391 0.2391  1 Pm 3.05, 1 Pr 3.13, 2 Er 3.20-3.24
6 Er 0.5072 0.7463 0.7463  1 Pm 3.05, 1 Pr 3.13, 2 Er 3.20-3.24
7 Er 0.0000 0.7609 0.2537  1 Pm 3.05, 1 Pr 3.13, 2 Er 3.20-3.24
8 Er 0.0000 0.2537 0.7609  1 Pm 3.05, 1 Pr 3.13, 2 Er 3.20-3.24
9 Er 0.2511 0.3724 0.3724  3 Er 3.10-3.24, 1 Pm 3.19, 3 Pr 3.26-3.45
10 Er 0.7489 0.1213 0.1213  3 Er 3.10-3.24, 1 Pm 3.19, 3 Pr 3.26-3.45
11 Er 0.0000 0.6276 0.8787  3 Er 3.10-3.24, 1 Pm 3.19, 3 Pr 3.26-3.45
12 Er 0.0000 0.8787 0.6276  3 Er 3.10-3.24, 1 Pm 3.19, 3 Pr 3.26-3.45

magnetization = 0.00 μB/f.u.
formation energy = 7.5 eV/f.u.
symmetry = I-42m